Compound: Li3MnCoO5
Source: Alexandria via LeMat-Bulk
Functional: PBE+U
Structure: relaxed

Cell and atoms, written as extended XYZ:
```
20
Lattice="4.8804 -1.4386 0.0000 4.8804 1.4386 0.0000 -2.6561 0.0000 12.3305" Properties=species:S:1:pos:R:3 pbc="T T T"
Li 0.0000 0.0000 0.0000
Li -0.9139 0.0000 8.8289
Li 2.7113 0.0000 1.0532
Li 3.5535 0.0000 6.1913
Li 4.3279 0.0000 11.2281
Li 8.0005 0.0000 3.7303
Mn 5.3752 0.0000 2.4602
Mn 6.1994 0.0000 7.4619
Co 0.8707 0.0000 4.9941
Co 1.7360 0.0000 9.9582
O -1.9845 0.0000 10.4544
O 0.0929 0.0000 6.7922
O 1.6410 0.0000 3.2358
O 0.8768 0.0000 11.5803
O 2.5345 0.0000 8.0509
O 4.6059 0.0000 4.3885
O 6.2224 0.0000 0.8700
O 5.4481 0.0000 9.2128
O 6.9294 0.0000 5.6223
O 9.0657 0.0000 2.0118
```

Calculated values
DOS at the Fermi energy: 0.150 states/eV/atom
E: -0.2169 hartree per atom
E above lowest polymorph: 59 meV per atom
total magnetization: 2.99 μB/f.u.
V: 173.1 Å³ per cell